# Nd5MgGa2, relaxed, DFT GGA-PBE
# E_form = -0.266 eV/atom
data_Nd5MgGa2
_cell_length_a 9.559
_cell_length_b 9.559
_cell_length_c 9.559
_cell_angle_alpha 131.39
_cell_angle_beta 131.39
_cell_angle_gamma 71.19
_symmetry_space_group_name_H-M 'P 1'
_symmetry_Int_Tables_number 1
loop_
_symmetry_equiv_pos_as_xyz
'x,y,z'
loop_
_atom_site_label
_atom_site_type_symbol
_atom_site_fract_x
_atom_site_fract_y
_atom_site_fract_z
Nd1 Nd 0.000 0.000 0.000
Nd2 Nd 0.027 0.527 0.840
Nd3 Nd 0.187 0.027 0.500
Nd4 Nd 0.313 0.813 0.840
Nd5 Nd 0.473 0.313 0.500
Nd6 Nd 0.500 0.500 0.000
Nd7 Nd 0.527 0.687 0.500
Nd8 Nd 0.687 0.187 0.160
Nd9 Nd 0.813 0.973 0.500
Nd10 Nd 0.973 0.473 0.160
Mg1 Mg 0.250 0.250 0.000
Mg2 Mg 0.750 0.750 0.000
Ga1 Ga 0.118 0.382 0.500
Ga2 Ga 0.382 0.882 0.263
Ga3 Ga 0.618 0.118 0.737
Ga4 Ga 0.882 0.618 0.500